## Cr4CdCuO8 (meta-GGA SCAN)

Data for a crystal of Cr4CdCuO8 relaxed with PBEsol.

The calculation puts the total energy at -794.57 eV for the cell shown. The value obtained for the spin magnetization is 11.000 μB/f.u.

The structure belongs to space group F-43m (No. 216); the cell edges are 8.4238, 8.4238 and 8.4238 Å and the angles 90.00°, 90.00° and 90.00°. The inequivalent atoms are Cr at (0.1238, 0.1238, 0.3762), Cd at (0.0000, 0.0000, 0.0000), Cu at (0.2500, 0.2500, 0.7500), O at (0.1109, 0.1109, 0.6109) and O at (0.1445, 0.1445, 0.1445).

## Tl3C (meta-GGA SCAN)

Data for a crystal of Tl3C relaxed with PBEsol.

The value obtained for the spin magnetization is 0.000 μB/f.u. As for the formation energy: 1148 meV per atom.

The structure belongs to space group Pmm2 (No. 25); the cell edges are 3.3302, 3.4441 and 8.0422 Å and the angles 90.00°, 90.00° and 90.00°. The inequivalent atoms are Tl at (0.0000, 0.0000, 0.0000), Tl at (0.0000, 0.5000, 0.3392), Tl at (0.5000, 0.5000, 0.6886) and C at (0.5000, 0.0000, 0.2658).

## Cs2InSbCl6 (meta-GGA SCAN)

Data for a crystal of Cs2InSbCl6 relaxed with PBEsol.

The calculation puts the total energy at -835.71 eV for the cell shown. The value obtained for the spin magnetization is 0.000 μB/f.u.

The structure belongs to space group Fm-3m (No. 225); the cell edges are 11.0312, 11.0312 and 11.0312 Å and the angles 90.00°, 90.00° and 90.00°. The inequivalent atoms are Cs at (0.2500, 0.2500, 0.2500), In at (0.0000, 0.0000, 0.0000), Sb at (0.0000, 0.0000, 0.5000) and Cl at (0.0000, 0.0000, 0.2604).